(1)
Crystalline Te2MoAuN at its relaxed geometry. Source: the Alexandria database, functional PBE.

```
Te2MoAuN
1.0
5.4115 0.0000 0.0000
0.0000 5.4115 0.0000
0.0000 0.0000 3.7952
Mo Te Au N
1 2 1 1
direct
0.0000 0.0000 0.0000 Mo
0.0000 0.5000 0.0000 Te
0.5000 0.0000 0.0000 Te
0.5000 0.5000 0.5000 Au
0.0000 0.0000 0.5000 N
```

Values from the calculation:
The space group is No. 123. The formation energy (no corrections) comes out at 0.37 eV per atom. The excess energy over the best structure of this formula in the dataset comes out at 0.000 eV per atom. As for the density of states at the Fermi level: 3.49 states/eV/cell. For the magnetic moment, the calculation gives 0.00 μB per atom. The value obtained for the density is 8.4 Mg/m³.

(2)
Crystalline Ce3Y4TmS8 at its relaxed geometry. Source: the Alexandria database, functional PBE.

```
Ce3Y4TmS8
1.0
7.8875 0.0000 0.0000
0.0000 7.9048 0.0083
-3.9438 -3.9393 5.5794
Ce Y Tm S
3 4 1 8
direct
0.5000 0.5000 0.0000 Ce
0.5000 0.5000 0.5000 Ce
0.0000 0.5000 0.5000 Ce
0.5000 0.0000 0.0000 Y
0.5000 0.0000 0.5000 Y
0.0000 0.0000 0.0000 Y
0.0000 0.0000 0.5000 Y
0.0000 0.5000 0.0000 Tm
0.2476 0.7539 0.0064 S
0.2475 0.7540 0.4950 S
0.2466 0.2397 0.4931 S
0.7589 0.7539 0.0064 S
0.2411 0.2461 0.9936 S
0.7534 0.7603 0.5069 S
0.7525 0.2460 0.5050 S
0.7524 0.2461 0.9936 S
```

Values from the calculation:
The space group is No. 166. The formation energy (no corrections) comes out at -2.01 eV per atom. As for the density of states at the Fermi level: 17.77 states/eV/cell. For the magnetic moment, the calculation gives 0.11 μB per atom. The value obtained for the density is 5.7 Mg/m³.